Na2CePbCl8 | GGA-PBE | optimized geometry

Cell: 6.637 6.539 8.658 Å, 90.01 89.99 92.63°
Site moments in Bohr magnetons follow the coordinates.
Fractional coordinates of all 12 atoms:
Cl: 0.823 0.201 0.225  0.00
Cl: 0.316 0.295 0.500  0.00
Na: 0.500 0.500 0.261  0.00
Na: 0.500 0.500 0.739  0.00
Cl: 0.177 0.799 0.775  0.00
Cl: 0.700 0.722 0.000  0.00
Cl: 0.823 0.201 0.775  0.00
Ce: 0.000 0.000 0.000  0.13
Cl: 0.177 0.799 0.225  0.00
Cl: 0.684 0.705 0.500  0.00
Pb: 0.000 0.000 0.500  0.00
Cl: 0.300 0.278 0.000  0.00

Summary:
Spin magnetization (μB per atom): 0.009
DOS(E_F) (states/eV/cell): 2.55
E_form (uncorrected) (eV/f.u.): -20.2
Symmetry: P2/m, No. 10